Entry 1:
SiBiBr2, relaxed, DFT GGA-PBE; SG = Fm-3m; total DFT energy (no corrections) = -10.9 eV/cell; total moment = 0.00 Bohr magnetons per cell; energy relative to the lowest polymorph listed for this composition = 360 meV/atom; uncorrected formation energy = 0.44 eV/atom
1.0
4.868 -1.760 0.899
2.101 0.420 4.797
0.740 -4.298 2.929
Br Si Bi
2 1 1
direct
0.750 0.750 0.750
0.250 0.250 0.250
0.000 0.000 0.000
0.500 0.500 0.500

Entry 2:
SiBiBr2, relaxed, DFT GGA-PBE; SG = I-42d; total DFT energy (no corrections) = -23.3 eV/cell; total moment = 0.00 Bohr magnetons per cell; energy relative to the lowest polymorph listed for this composition = 176 meV/atom; uncorrected formation energy = 0.26 eV/atom
1.0
-1.531 -5.500 -6.010
-5.870 -3.496 4.694
-5.906 -2.497 -1.927
Si Br Bi
2 4 2
direct
0.250 0.750 0.500
0.500 0.500 0.000
0.584 0.125 0.250
0.375 0.416 0.750
0.875 0.834 0.750
0.166 0.625 0.250
0.000 0.000 0.000
0.750 0.250 0.500

Entry 3:
SmBiBr, relaxed, DFT GGA-PBE; SG = P2_1/m; total DFT energy (no corrections) = -26.8 eV/cell; total moment = 0.00 Bohr magnetons per cell; energy relative to the lowest polymorph listed for this composition = 0 meV/atom; uncorrected formation energy = -1.05 eV/atom
1.0
-1.304 -4.290 1.298
0.437 -1.683 -5.124
7.694 -1.163 3.884
Br Sm Bi
2 2 2
direct
0.750 0.716 0.930
0.250 0.284 0.070
0.250 0.385 0.749
0.750 0.615 0.251
0.250 0.770 0.521
0.750 0.230 0.479

Entry 4:
SmBiBr, relaxed, DFT GGA-PBE; SG = P-6m2; total DFT energy (no corrections) = -12.9 eV/cell; total moment = 0.00 Bohr magnetons per cell; energy relative to the lowest polymorph listed for this composition = 179 meV/atom; uncorrected formation energy = -0.87 eV/atom
1.0
3.745 0.000 0.000
0.000 5.207 0.000
0.000 -2.604 4.509
Sm Br Bi
1 1 1
direct
0.167 0.000 0.000
0.167 0.333 0.667
0.667 0.667 0.333

Entry 5:
Sn3Bi3Br, relaxed, DFT GGA-PBE; SG = Pm-3n; total DFT energy (no corrections) = -48.8 eV/cell; total moment = 0.00 Bohr magnetons per cell; uncorrected formation energy = 0.13 eV/atom
1.0
-3.492 -0.478 -7.732
-4.098 -7.084 2.289
-6.575 4.669 2.681
Br Sn Bi
2 6 6
direct
0.500 0.500 0.500
0.000 0.000 0.000
0.750 0.500 0.000
0.000 0.750 0.500
0.500 0.000 0.250
0.500 0.000 0.750
0.000 0.250 0.500
0.250 0.500 0.000
0.500 0.750 0.000
0.750 0.000 0.500
0.250 0.000 0.500
0.000 0.500 0.250
0.500 0.250 0.000
0.000 0.500 0.750

Entry 6:
Sn2BiBr6, relaxed, DFT GGA-PBE; SG = R3; total DFT energy (no corrections) = -27.2 eV/cell; total moment = 1.02 Bohr magnetons per cell; energy relative to the lowest polymorph listed for this composition = 36 meV/atom; uncorrected formation energy = -0.59 eV/atom
1.0
7.985 0.000 0.000
3.993 6.915 0.000
3.993 2.305 6.606
Br Sn Bi
6 2 1
direct
0.131 0.708 0.726
0.708 0.435 0.726
0.959 0.241 0.226
0.435 0.131 0.726
0.241 0.573 0.226
0.573 0.959 0.226
0.561 0.561 0.317
0.722 0.722 0.834
0.335 0.335 0.996

> total moment of number 3 (SmBiBr)?

0.00 Bohr magnetons per cell